The following is a DFT calculation (PBE-GGA) of crystalline LaTmPa at its relaxed geometry.

```
LaTmPa
1.0
3.592 -3.587 -1.436
2.991 -2.348 3.656
-0.752 -5.093 1.150
Pa La Tm
1 1 1
Cartesian
4.373 -8.270 2.528
1.458 -2.757 0.843
0.000 0.000 0.000
```

Calculated values
size of the total moment	0.7	μB/f.u.
energy of formation	1.0399	eV/atom
space-group type	No. 216